This record from Alexandria describes a relaxed structure of CaBiO2. The functional is PBE.

Cell and atoms, written as CIF:
```
data_CaBiO2
_chemical_formula_sum 'Ca3 Bi3 O6'
_space_group_name_H-M_alt 'R -3 m'
_space_group_IT_number 166
_space_group_name_Hall '-R 3 2"'
_cell_length_a 3.4782
_cell_length_b 3.4782
_cell_length_c 20.3966
_cell_angle_alpha 90.00
_cell_angle_beta 90.00
_cell_angle_gamma 120.00
loop_
_atom_site_label
_atom_site_type_symbol
_atom_site_fract_x
_atom_site_fract_y
_atom_site_fract_z
_atom_site_occupancy
Ca1 Ca 0.0000 0.0000 0.0000 1
Bi1 Bi 0.0000 0.0000 0.5000 1
O1 O 0.0000 0.0000 0.3929 1
```

Calculated values
The value obtained for the total energy is -68.489 eV per cell. The raw formation energy comes out at -40.53 kcal/mol of atoms.


This record from Alexandria describes a relaxed structure of Mg2OsCl. The functional is PBE.

Cell and atoms, written as CIF:
```
data_Mg2OsCl
_chemical_formula_sum 'Mg2 Os1 Cl1'
_space_group_name_H-M_alt 'P m m m'
_space_group_IT_number 47
_space_group_name_Hall '-P 2 2'
_cell_length_a 2.9555
_cell_length_b 3.2968
_cell_length_c 7.5755
_cell_angle_alpha 90.00
_cell_angle_beta 90.00
_cell_angle_gamma 90.00
loop_
_atom_site_label
_atom_site_type_symbol
_atom_site_fract_x
_atom_site_fract_y
_atom_site_fract_z
_atom_site_occupancy
Mg1 Mg 0.0000 0.0000 0.2187 1
Os1 Os 0.5000 0.5000 0.0000 1
Cl1 Cl 0.5000 0.0000 0.5000 1
```

Calculated values
The value obtained for the total energy is -17.466 eV per cell. The raw formation energy comes out at -6.92 kcal/mol of atoms.


This record from Alexandria describes a relaxed structure of CePuGaGe. The functional is PBE.

Cell and atoms, written as CIF:
```
data_CePuGaGe
_chemical_formula_sum 'Ce2 Pu2 Ga2 Ge2'
_space_group_name_H-M_alt 'P 4/n m m'
_space_group_IT_number 129
_cell_length_a 4.2189
_cell_length_b 4.2189
_cell_length_c 11.2231
_cell_angle_alpha 90.00
_cell_angle_beta 90.00
_cell_angle_gamma 90.00
loop_
_space_group_symop_operation_xyz
'x,y,z'
'-x,-y,-z'
'-y+1/2,x,z'
'y+1/2,-x,-z'
'-x+1/2,-y+1/2,z'
'x+1/2,y+1/2,-z'
'y,-x+1/2,z'
'-y,x+1/2,-z'
'x+1/2,-y,-z'
'-x+1/2,y,z'
'-y,-x,-z'
'y,x,z'
'-x,y+1/2,-z'
'x,-y+1/2,z'
'y+1/2,x+1/2,-z'
'-y+1/2,-x+1/2,z'
loop_
_atom_site_label
_atom_site_type_symbol
_atom_site_fract_x
_atom_site_fract_y
_atom_site_fract_z
_atom_site_occupancy
Ce1 Ce 0.2500 0.2500 0.1619 1
Pu1 Pu 0.2500 0.7500 0.5000 1
Ga1 Ga 0.2500 0.2500 0.6932 1
Ge1 Ge 0.2500 0.2500 0.9079 1
```

Calculated values
The value obtained for the total energy is -58.414 eV per cell. For the formation energy, the calculation gives -324.3 meV per atom.


This record from Alexandria describes a relaxed structure of H12Pd5W3. The functional is PBE.

Cell and atoms, written as CIF:
```
data_H12Pd5W3
_chemical_formula_sum 'H96 Pd40 W24'
_space_group_name_H-M_alt 'I a -3 d'
_space_group_IT_number 230
_space_group_name_Hall '-I 4bd 2c 3'
_cell_length_a 10.9938
_cell_length_b 10.9938
_cell_length_c 10.9938
_cell_angle_alpha 90.00
_cell_angle_beta 90.00
_cell_angle_gamma 90.00
loop_
_atom_site_label
_atom_site_type_symbol
_atom_site_fract_x
_atom_site_fract_y
_atom_site_fract_z
_atom_site_occupancy
H1 H 0.0106 0.0748 0.6576 1
Pd1 Pd 0.0000 0.0000 0.0000 1
Pd2 Pd 0.0000 0.2500 0.3750 1
W1 W 0.0000 0.2500 0.1250 1
```

Calculated values
The value obtained for the total energy is -801.688 eV per cell.